{
  "formula": "Co3RuF",
  "functional": "PBE with a Hubbard U",
  "state": "optimized geometry",
  "cell": [[4.030, 0.000, 0.000], [0.000, 4.030, 0.000], [0.000, 0.000, 4.030]],
  "species": ["Co", "Co", "Co", "Ru", "F"],
  "frac_coords": [[0.000, 0.000, 0.500], [0.000, 0.500, 0.000], [0.500, 0.000, 0.000], [0.500, 0.500, 0.500], [0.000, 0.000, 0.000]],
  "energy_ev_per_atom": -4.836,
  "n_ef_per_ev_cell": 8.75
}